MgH | PBE-GGA | relaxed

Lattice parameters (Å, degrees): 5.594 5.594 3.297 90.00 90.00 90.00
Fractional coordinates of all 8 atoms:
Mg: 0.213 0.213 0.000
Mg: 0.287 0.713 0.500
Mg: 0.713 0.287 0.500
Mg: 0.787 0.787 0.000
H: 0.141 0.859 0.000
H: 0.359 0.359 0.500
H: 0.641 0.641 0.500
H: 0.859 0.141 0.000

## Properties
The calculation puts the calculated volume at 12.9 Å³/atom. The value obtained for the energy above the most stable polymorph in this dataset is 211.3 meV/atom.